# 1
Below is an optimized crystal structure of Zr5HgBi, with properties calculated at the PBE level.

Values from the calculation:
Total moment (μB per atom): 0.000
Space-group type: No. 15
Total energy (eV/cell): -93.0

Cell lengths 8.016, 8.016, 5.968 Å; angles 109.63, 109.63, 82.62 degrees
Sites, in units of the cell vectors:
Zr (0.022, 0.978, 0.750)
Zr (0.133, 0.349, 0.972)
Zr (0.246, 0.748, 0.019)
Zr (0.252, 0.754, 0.481)
Zr (0.349, 0.133, 0.472)
Zr (0.651, 0.867, 0.528)
Zr (0.748, 0.246, 0.519)
Zr (0.754, 0.252, 0.981)
Zr (0.867, 0.651, 0.028)
Zr (0.978, 0.022, 0.250)
Hg (0.493, 0.507, 0.750)
Hg (0.507, 0.493, 0.250)
Bi (0.000, 0.500, 0.500)
Bi (0.500, 0.000, 0.000)

***

# 2
Below is an optimized crystal structure of Zr2HgBi, with properties calculated at the PBE level.

Values from the calculation:
Total moment (μB per atom): 0.000
Space-group type: No. 122
Total energy (eV/cell): -42.7
Relative energy among the computed polymorphs (eV per formula unit): 0.68

Cell lengths 6.448, 6.448, 6.448 Å; angles 103.83, 103.83, 121.45 degrees
Sites, in units of the cell vectors:
Zr (0.120, 0.625, 0.995)
Zr (0.375, 0.370, 0.495)
Zr (0.630, 0.125, 0.005)
Zr (0.875, 0.880, 0.505)
Hg (0.000, 0.000, 0.000)
Hg (0.750, 0.250, 0.500)
Bi (0.250, 0.750, 0.500)
Bi (0.500, 0.500, 0.000)

***

# 3
Below is an optimized crystal structure of ZrHg2Bi2, with properties calculated at the PBE level.

Values from the calculation:
Total moment (μB per atom): 0.000
Space-group type: No. 127
Total energy (eV/cell): -31.9
Relative energy among the computed polymorphs (eV per formula unit): 0.08

Cell lengths 7.914, 7.914, 4.418 Å; angles 90.00, 90.00, 90.00 degrees
Sites, in units of the cell vectors:
Zr (0.000, 0.000, 0.000)
Zr (0.500, 0.500, 0.000)
Hg (0.166, 0.334, 0.500)
Hg (0.334, 0.834, 0.500)
Hg (0.666, 0.166, 0.500)
Hg (0.834, 0.666, 0.500)
Bi (0.146, 0.646, 0.000)
Bi (0.354, 0.146, 0.000)
Bi (0.646, 0.854, 0.000)
Bi (0.854, 0.354, 0.000)